Entry 1:
YTl2Cu | the Alexandria database | GGA-PBE | optimized geometry; formation energy = -43 meV/atom; calculated total energy = -3.866 eV per atom; E above lowest polymorph = 0.043 eV per atom; magnetization = 0.0 Bohr magnetons per cell
1.0
5.8714 -1.8849 0.0000
5.8714 1.8849 0.0000
-2.0098 0.0000 4.4319
Y Tl Cu
1 2 1
direct
0.0000 0.0000 0.0000
0.2064 0.2064 0.7075
0.4164 0.4164 0.4159
0.7153 0.7153 0.2175


Entry 2:
Y3TlCu2 | the Alexandria database | GGA-PBE | optimized geometry; formation energy = -279 meV/atom; calculated total energy = -5.271 eV per atom; magnetization = 0.0 Bohr magnetons per cell
1.0
3.5188 0.0000 0.0000
0.0000 3.5188 0.0000
0.0000 0.0000 11.2762
Y Tl Cu
3 1 2
direct
0.0000 0.0000 0.0000
0.0000 0.0000 0.3074
0.0000 0.0000 0.6926
0.5000 0.5000 0.5000
0.5000 0.5000 0.1557
0.5000 0.5000 0.8443


Entry 3:
YTlCu | the Alexandria database | GGA-PBE | optimized geometry; formation energy = -203 meV/atom; calculated total energy = -4.512 eV per atom; magnetization = 0.0 Bohr magnetons per cell
1.0
0.0000 3.2947 3.2947
3.2947 0.0000 3.2947
3.2947 3.2947 0.0000
Y Tl Cu
1 1 1
direct
0.0000 0.0000 0.0000
0.5000 0.5000 0.5000
0.2500 0.2500 0.2500


Entry 4:
Y2TlCu | the Alexandria database | GGA-PBE | optimized geometry; formation energy = -96 meV/atom; calculated total energy = -4.943 eV per atom; magnetization = 0.0 Bohr magnetons per cell
1.0
-2.1901 2.1901 5.1415
2.1901 -2.1901 5.1415
2.1901 2.1901 -5.1415
Y Tl Cu
2 1 1
direct
0.0000 0.0000 0.0000
0.7500 0.2500 0.5000
0.5000 0.5000 0.0000
0.2500 0.7500 0.5000


Entry 5:
Y2TlCu | the Alexandria database | GGA-PBE | optimized geometry; formation energy = -191 meV/atom; calculated total energy = -5.039 eV per atom; magnetization = 0.3 Bohr magnetons per cell
1.0
-1.7864 2.4838 5.5694
1.7864 -2.4838 5.5694
1.7864 2.4838 -5.5694
Y Tl Cu
2 1 1
direct
0.0000 0.0000 0.0000
0.7186 0.2186 0.5000
0.2971 0.7971 0.5000
0.4978 0.4978 0.0000


Entry 6:
Y5TlCu4 | the Alexandria database | GGA-PBE | optimized geometry; formation energy = -262 meV/atom; calculated total energy = -5.370 eV per atom; magnetization = 0.0 Bohr magnetons per cell
1.0
3.5007 0.0000 0.0000
0.0000 3.5007 0.0000
0.0000 0.0000 18.2962
Y Tl Cu
5 1 4
direct
0.0000 0.0000 0.0000
0.0000 0.0000 0.1902
0.0000 0.0000 0.3801
0.0000 0.0000 0.6199
0.0000 0.0000 0.8098
0.5000 0.5000 0.5000
0.5000 0.5000 0.0949
0.5000 0.5000 0.2857
0.5000 0.5000 0.7143
0.5000 0.5000 0.9051


Entry 7:
Y2TlCu | the Alexandria database | GGA-PBE | optimized geometry; formation energy = -108 meV/atom; calculated total energy = -4.956 eV per atom; magnetization = 0.0 Bohr magnetons per cell
1.0
4.3119 -1.9100 0.0000
4.3119 1.9100 0.0000
-1.7687 0.0000 6.5475
Y Tl Cu
2 1 1
direct
0.2363 0.2363 0.2189
0.7637 0.7637 0.7811
0.0000 0.0000 0.5000
0.5000 0.5000 0.0000


Entry 8:
YTl2Cu | the Alexandria database | GGA-PBE | optimized geometry; formation energy = -13 meV/atom; calculated total energy = -3.836 eV per atom; E above lowest polymorph = 0.073 eV per atom; magnetization = 0.0 Bohr magnetons per cell
1.0
-1.8383 2.7588 4.7930
1.8383 -2.7588 4.7930
1.8383 2.7588 -4.7930
Y Tl Cu
1 2 1
direct
0.0000 0.0000 0.0000
0.2820 0.7820 0.5000
0.7180 0.2180 0.5000
0.5000 0.5000 0.0000


Entry 9:
YTlZn2Cu | the Alexandria database | GGA-PBE | optimized geometry; formation energy = 31 meV/atom; calculated total energy = -3.064 eV per atom; magnetization = 0.0 Bohr magnetons per cell
1.0
4.6872 0.0000 0.0000
0.0000 4.6872 0.0000
0.0000 0.0000 5.2112
Y Tl Zn Cu
1 1 2 1
direct
0.0000 0.0000 0.0000
0.5000 0.5000 0.0000
0.0000 0.5000 0.5000
0.5000 0.0000 0.5000
0.0000 0.0000 0.5000


Entry 10:
TlZnCu3 | the Alexandria database | GGA-PBE | optimized geometry; formation energy = 1003 meV/atom; calculated total energy = -2.182 eV per atom; E above lowest polymorph = 0.463 eV per atom; magnetization = 0.0 Bohr magnetons per cell
1.0
4.9238 0.0000 0.0000
0.0000 4.9238 0.0000
0.0000 0.0000 4.9238
Tl Zn Cu
1 1 3
direct
0.0000 0.0000 0.0000
0.5000 0.5000 0.5000
0.0000 0.0000 0.5000
0.0000 0.5000 0.0000
0.5000 0.0000 0.0000


Entry 11:
Tl3ZnCu | the Alexandria database | GGA-PBE | optimized geometry; formation energy = 546 meV/atom; calculated total energy = -1.947 eV per atom; E above lowest polymorph = 0.254 eV per atom; magnetization = 0.0 Bohr magnetons per cell
1.0
5.3479 0.0000 0.0000
0.0000 5.3479 0.0000
0.0000 0.0000 5.3479
Tl Zn Cu
3 1 1
direct
0.0000 0.0000 0.5000
0.0000 0.5000 0.0000
0.5000 0.0000 0.0000
0.0000 0.0000 0.0000
0.5000 0.5000 0.5000


Entry 12:
TlZnCu3 | the Alexandria database | GGA-PBE | optimized geometry; formation energy = 541 meV/atom; calculated total energy = -2.645 eV per atom; E above lowest polymorph = 0.000 eV per atom; magnetization = 0.0 Bohr magnetons per cell
1.0
4.5797 0.0000 0.0000
0.0000 4.5797 0.0000
0.0000 0.0000 4.5797
Tl Zn Cu
1 1 3
direct
0.0000 0.0000 0.0000
0.5000 0.5000 0.5000
0.0000 0.5000 0.5000
0.5000 0.0000 0.5000
0.5000 0.5000 0.0000


Entry 13:
TlZnCu4 | the Alexandria database | GGA-PBE | optimized geometry; formation energy = 117 meV/atom; calculated total energy = -3.220 eV per atom; magnetization = 0.0 Bohr magnetons per cell
1.0
0.0000 3.5392 3.5392
3.5392 0.0000 3.5392
3.5392 3.5392 0.0000
Tl Zn Cu
1 1 4
direct
0.0000 0.0000 0.0000
0.7500 0.7500 0.7500
0.3756 0.3756 0.3756
0.3756 0.3756 0.8732
0.3756 0.8732 0.3756
0.8732 0.3756 0.3756


Entry 14:
Tl3ZnCu | the Alexandria database | GGA-PBE | optimized geometry; formation energy = 292 meV/atom; calculated total energy = -2.202 eV per atom; E above lowest polymorph = 0.000 eV per atom; magnetization = 0.0 Bohr magnetons per cell
1.0
5.2611 0.0000 0.0000
0.0000 5.2611 0.0000
0.0000 0.0000 5.2611
Tl Zn Cu
3 1 1
direct
0.0000 0.0000 0.5000
0.0000 0.5000 0.0000
0.5000 0.0000 0.0000
0.5000 0.5000 0.5000
0.0000 0.0000 0.0000


Entry 15:
Tl2Zn2Cu | the Alexandria database | GGA-PBE | optimized geometry; formation energy = 213 meV/atom; calculated total energy = -2.062 eV per atom; magnetization = 0.0 Bohr magnetons per cell
1.0
6.7042 0.0000 0.0000
0.0000 6.7042 0.0000
0.0000 0.0000 4.7935
Tl Zn Cu
4 4 2
direct
0.1794 0.3206 0.0000
0.3206 0.8206 0.0000
0.6794 0.1794 0.0000
0.8206 0.6794 0.0000
0.1444 0.6444 0.5000
0.3556 0.1444 0.5000
0.6444 0.8556 0.5000
0.8556 0.3556 0.5000
0.0000 0.0000 0.5000
0.5000 0.5000 0.5000


Entry 16:
Zr2TlZnCu | the Alexandria database | GGA-PBE | optimized geometry; formation energy = 293 meV/atom; calculated total energy = -4.673 eV per atom; magnetization = 0.0 Bohr magnetons per cell
1.0
4.9562 0.0000 0.0000
0.0000 4.9562 0.0000
0.0000 0.0000 4.5164
Zr Tl Zn Cu
2 1 1 1
direct
0.0000 0.5000 0.0000
0.5000 0.0000 0.0000
0.0000 0.0000 0.5000
0.5000 0.5000 0.5000
0.5000 0.5000 0.0000


Entry 17:
ZrTlCu2 | the Alexandria database | GGA-PBE | optimized geometry; formation energy = 150 meV/atom; calculated total energy = -4.627 eV per atom; magnetization = 0.0 Bohr magnetons per cell
1.0
-1.5980 2.3443 4.7739
1.5980 -2.3443 4.7739
1.5980 2.3443 -4.7739
Zr Tl Cu
1 1 2
direct
0.0000 0.0000 0.0000
0.7202 0.2202 0.5000
0.2711 0.7711 0.5000
0.4755 0.4755 0.0000


Entry 18:
Zr3TlCu | the Alexandria database | GGA-PBE | optimized geometry; formation energy = 327 meV/atom; calculated total energy = -6.094 eV per atom; E above lowest polymorph = 0.177 eV per atom; magnetization = 0.0 Bohr magnetons per cell
1.0
4.9354 0.0000 0.0000
0.0000 4.9354 0.0000
0.0000 0.0000 4.9354
Zr Tl Cu
3 1 1
direct
0.0000 0.0000 0.5000
0.0000 0.5000 0.0000
0.5000 0.0000 0.0000
0.5000 0.5000 0.5000
0.0000 0.0000 0.0000


Entry 19:
Zr3TlCu | the Alexandria database | GGA-PBE | optimized geometry; formation energy = 150 meV/atom; calculated total energy = -6.271 eV per atom; E above lowest polymorph = 0.000 eV per atom; magnetization = 0.0 Bohr magnetons per cell
1.0
6.9086 0.0000 0.0000
-3.4543 5.9830 0.0000
0.0000 0.0000 5.3806
Zr Tl Cu
6 2 2
direct
0.1860 0.3719 0.2500
0.1860 0.8140 0.2500
0.3719 0.1860 0.7500
0.6281 0.8140 0.2500
0.8140 0.1860 0.7500
0.8140 0.6281 0.7500
0.3333 0.6667 0.7500
0.6667 0.3333 0.2500
0.0000 0.0000 0.0000
0.0000 0.0000 0.5000


Entry 20:
ZrTl2Cu2 | the Alexandria database | GGA-PBE | optimized geometry; formation energy = 329 meV/atom; calculated total energy = -3.965 eV per atom; E above lowest polymorph = 0.144 eV per atom; magnetization = 0.0 Bohr magnetons per cell
1.0
-1.9946 1.9946 6.3395
1.9946 -1.9946 6.3395
1.9946 1.9946 -6.3395
Zr Tl Cu
1 2 2
direct
0.0000 0.0000 0.0000
0.3873 0.3873 0.0000
0.6127 0.6127 0.0000
0.2500 0.7500 0.5000
0.7500 0.2500 0.5000